Entry 1:
Entry from Alexandria via LeMat-Bulk: crystalline Tb2Pr3Er6Sc at its relaxed geometry (PBE).

```
12
Lattice="-5.343 -3.009 0.527 3.966 -1.530 -4.451 5.452 -6.119 8.377" Properties=species:S:1:pos:R:3 pbc="T T T"
Tb 0.860 -2.023 -2.790
Tb -2.237 -2.516 -1.134
Pr 5.141 -4.836 0.567
Pr -1.066 -5.822 3.886
Pr 2.037 -5.329 2.226
Er 1.547 -8.297 4.202
Er 0.295 -4.893 -0.902
Er 2.528 -2.361 0.251
Er 4.626 -7.808 2.555
Er 3.779 -5.765 5.355
Er -0.551 -2.850 1.898
Sc 0.000 0.000 0.000
```

Properties
As for the space group: C2/m. The calculated volume is 378.6 Å³ per cell. The formation energy is 0.032 eV per atom.


Entry 2:
Entry from Alexandria via LeMat-Bulk: crystalline Tb4PrEr2Sc at its relaxed geometry (PBE).

```
16
Lattice="15.206 2.514 -3.370 1.812 6.590 -1.672 -11.847 -5.833 8.602" Properties=species:S:1:pos:R:3 pbc="T T T"
Tb -6.633 -0.280 6.452
Tb 5.951 0.607 1.347
Tb -0.780 2.665 2.213
Tb 11.805 3.551 -2.892
Tb 12.749 6.838 -3.756
Tb 6.867 3.910 0.505
Tb -1.696 -0.639 3.055
Tb -7.578 -3.566 7.317
Pr 2.586 1.636 1.780
Pr 3.359 -3.319 5.232
Er 7.603 1.257 -1.685
Er 1.680 -1.659 2.616
Er -5.923 -2.916 4.301
Er 8.509 4.552 -2.521
Sc 0.906 3.295 -0.836
Sc 10.189 2.893 0.095
```

Properties
As for the space group: P-1. The calculated volume is 496.8 Å³ per cell. The formation energy is 0.036 eV per atom.


calculated volume of number 2 (Tb4PrEr2Sc)?
496.8 Å³ per cell


Which of these has the lowest calculated volume?
Tb2Pr3Er6Sc


Which of these has the highest calculated volume?
Tb4PrEr2Sc


What did the first record say?
Entry from Alexandria via LeMat-Bulk: crystalline Tb2Pr3Er6Sc at its relaxed geometry (PBE).

```
12
Lattice="-5.343 -3.009 0.527 3.966 -1.530 -4.451 5.452 -6.119 8.377" Properties=species:S:1:pos:R:3 pbc="T T T"
Tb 0.860 -2.023 -2.790
Tb -2.237 -2.516 -1.134
Pr 5.141 -4.836 0.567
Pr -1.066 -5.822 3.886
Pr 2.037 -5.329 2.226
Er 1.547 -8.297 4.202
Er 0.295 -4.893 -0.902
Er 2.528 -2.361 0.251
Er 4.626 -7.808 2.555
Er 3.779 -5.765 5.355
Er -0.551 -2.850 1.898
Sc 0.000 0.000 0.000
```

Properties
As for the space group: C2/m. The calculated volume is 378.6 Å³ per cell. The formation energy is 0.032 eV per atom.